[1]
# PBE-GGA ReTc2W, relaxed
# DOS(E_F) = 3.0 states/eV/cell
# energy above the lowest structure with this stoichiometry = 8 meV/atom
# formation enthalpy at 0 K = 0.122 eV per atom
# calculated volume = 15.15 Å³ per atom
# raw total energy = -45.6 eV/f.u.
data_ReTc2W
_cell_length_a 2.769
_cell_length_b 3.938
_cell_length_c 5.559
_cell_angle_alpha 90.00
_cell_angle_beta 90.00
_cell_angle_gamma 90.00
_symmetry_space_group_name_H-M 'P 1'
_symmetry_Int_Tables_number 1
loop_
_symmetry_equiv_pos_as_xyz
'x,y,z'
loop_
_atom_site_label
_atom_site_type_symbol
_atom_site_fract_x
_atom_site_fract_y
_atom_site_fract_z
_atom_site_occupancy
Re1 Re 0.500 0.500 0.758 1
Tc1 Tc 0.000 0.000 0.000 1
Tc2 Tc 0.500 0.500 0.243 1
W1 W 0.000 0.000 0.498 1

[2]
# PBE-GGA CaB2IrRu, relaxed
# DOS(E_F) = 0.7 states/eV/cell
# energy above the lowest structure with this stoichiometry = 0 meV/atom
# formation enthalpy at 0 K = -0.482 eV per atom
# calculated volume = 15.69 Å³ per atom
# raw total energy = -35.9 eV/f.u.
data_CaB2IrRu
_cell_length_a 3.994
_cell_length_b 3.994
_cell_length_c 5.672
_cell_angle_alpha 110.61
_cell_angle_beta 110.61
_cell_angle_gamma 90.00
_symmetry_space_group_name_H-M 'P 1'
_symmetry_Int_Tables_number 1
loop_
_symmetry_equiv_pos_as_xyz
'x,y,z'
loop_
_atom_site_label
_atom_site_type_symbol
_atom_site_fract_x
_atom_site_fract_y
_atom_site_fract_z
_atom_site_occupancy
Ca1 Ca 0.000 0.000 0.000 1
B1 B 0.682 0.682 0.364 1
B2 B 0.318 0.318 0.636 1
Ir1 Ir 0.250 0.750 0.500 1
Ru1 Ru 0.750 0.250 0.500 1

[3]
# PBE-GGA NiRh2Br, relaxed
# raw formation energy = 0.594 eV/atom
# DOS(E_F) = 6.3 states/eV/cell
# energy above the lowest structure with this stoichiometry = 241 meV/atom
# calculated volume = 14.92 Å³ per atom
# raw total energy = -19.8 eV/f.u.
data_NiRh2Br
_cell_length_a 4.540
_cell_length_b 4.540
_cell_length_c 2.938
_cell_angle_alpha 90.00
_cell_angle_beta 90.00
_cell_angle_gamma 99.81
_symmetry_space_group_name_H-M 'P 1'
_symmetry_Int_Tables_number 1
loop_
_symmetry_equiv_pos_as_xyz
'x,y,z'
loop_
_atom_site_label
_atom_site_type_symbol
_atom_site_fract_x
_atom_site_fract_y
_atom_site_fract_z
_atom_site_occupancy
Br1 Br 0.500 0.000 0.500 1
Ni1 Ni 0.000 0.500 0.500 1
Rh1 Rh 0.000 0.000 0.000 1
Rh2 Rh 0.500 0.500 0.000 1

[4]
# PBE-GGA InCo2Rh, relaxed
# DOS(E_F) = 5.4 states/eV/cell
# formation enthalpy at 0 K = 0.044 eV per atom
# calculated volume = 14.18 Å³ per atom
# raw total energy = -24.1 eV/f.u.
data_InCo2Rh
_cell_length_a 3.018
_cell_length_b 3.018
_cell_length_c 6.225
_cell_angle_alpha 90.00
_cell_angle_beta 90.00
_cell_angle_gamma 89.99
_symmetry_space_group_name_H-M 'P 1'
_symmetry_Int_Tables_number 1
loop_
_symmetry_equiv_pos_as_xyz
'x,y,z'
loop_
_atom_site_label
_atom_site_type_symbol
_atom_site_fract_x
_atom_site_fract_y
_atom_site_fract_z
_atom_site_occupancy
Co1 Co 0.000 0.000 0.023 1
Co2 Co 0.500 0.500 0.209 1
In1 In 0.000 0.000 0.490 1
Rh1 Rh 0.500 0.500 0.778 1

[5]
# PBE-GGA AcSn4Se6, relaxed
# raw formation energy = -0.716 eV/atom
# DOS(E_F) = 4.4 states/eV/cell
# calculated volume = 29.85 Å³ per atom
# raw total energy = -48.9 eV/f.u.
data_AcSn4Se6
_cell_length_a 6.112
_cell_length_b 6.112
_cell_length_c 11.336
_cell_angle_alpha 117.95
_cell_angle_beta 117.95
_cell_angle_gamma 82.30
_symmetry_space_group_name_H-M 'P 1'
_symmetry_Int_Tables_number 1
loop_
_symmetry_equiv_pos_as_xyz
'x,y,z'
loop_
_atom_site_label
_atom_site_type_symbol
_atom_site_fract_x
_atom_site_fract_y
_atom_site_fract_z
_atom_site_occupancy
Ac1 Ac 0.064 0.064 0.955 1
Sn1 Sn 0.858 0.353 0.315 1
Sn2 Sn 0.586 0.586 0.748 1
Sn3 Sn 0.353 0.858 0.315 1
Sn4 Sn 0.109 0.109 0.657 1
Se1 Se 0.081 0.574 0.663 1
Se2 Se 0.574 0.081 0.663 1
Se3 Se 0.853 0.853 0.347 1
Se4 Se 0.096 0.602 0.006 1
Se5 Se 0.325 0.325 0.325 1
Se6 Se 0.602 0.096 0.006 1

[6]
# PBE-GGA NpZnGa3Cu, relaxed
# DOS(E_F) = 23.8 states/eV/cell
# formation enthalpy at 0 K = 0.223 eV per atom
# calculated volume = 19.42 Å³ per atom
# raw total energy = -26.1 eV/f.u.
data_NpZnGa3Cu
_cell_length_a 5.854
_cell_length_b 6.430
_cell_length_c 6.975
_cell_angle_alpha 117.45
_cell_angle_beta 90.00
_cell_angle_gamma 90.00
_symmetry_space_group_name_H-M 'P 1'
_symmetry_Int_Tables_number 1
loop_
_symmetry_equiv_pos_as_xyz
'x,y,z'
loop_
_atom_site_label
_atom_site_type_symbol
_atom_site_fract_x
_atom_site_fract_y
_atom_site_fract_z
_atom_site_occupancy
Np1 Np 0.750 0.303 0.607 1
Np2 Np 0.250 0.697 0.393 1
Zn1 Zn 0.250 0.926 0.851 1
Zn2 Zn 0.750 0.074 0.149 1
Ga1 Ga 0.250 0.153 0.306 1
Ga2 Ga 0.000 0.299 0.000 1
Ga3 Ga 0.500 0.701 0.000 1
Ga4 Ga 0.500 0.299 0.000 1
Ga5 Ga 0.000 0.701 0.000 1
Ga6 Ga 0.750 0.847 0.694 1
Cu1 Cu 0.250 0.357 0.714 1
Cu2 Cu 0.750 0.643 0.286 1